1.
DFT (PBE) results for an optimized crystal structure of AlMo2Rh.

a = 4.7116 Å, b = 4.7116 Å, c = 2.7439 Å
α = 90.00°, β = 90.00°, γ = 90.00°
Closest atoms and distances in Å follow each position.
Space group P4/mmm (No. 123)
Inequivalent atoms, fractional coordinates:
Al (0.0000, 0.0000, 0.0000) (multiplicity 1)  8 Mo 2.73, 2 Al 2.74
Mo (0.0000, 0.5000, 0.5000) (multiplicity 2)  4 Al 2.73, 4 Rh 2.73, 2 Mo 2.74
Rh (0.5000, 0.5000, 0.0000) (multiplicity 1)  8 Mo 2.73, 2 Rh 2.74

Computed properties:
Size of the total moment = 0.000 μB/atom
DOS(E_F) = 3.63 states/eV/f.u.
Energy relative to the elements = 0.89 kcal/mol of atoms

***

2.
DFT (PBE) results for an optimized crystal structure of Nd8Ru3RhBr4.

a = 14.2035 Å, b = 8.1920 Å, c = 9.1890 Å
α = 90.00°, β = 121.11°, γ = 90.00°
Closest atoms and distances in Å follow each position.
Space group C2/m (No. 12)
Inequivalent atoms, fractional coordinates:
Nd (0.0189, 0.2464, 0.3035) (multiplicity 8)  2 Ru 2.81, 1 Rh 2.85
Nd (0.2328, 0.0000, 0.6982) (multiplicity 4)  3 Ru 2.83
Nd (0.2347, 0.5000, 0.6964) (multiplicity 4)  2 Ru 2.81, 1 Rh 2.86
Ru (0.0000, 0.0000, 0.5000) (multiplicity 2)  6 Nd 2.81-2.83
Ru (0.2500, 0.2500, 0.5000) (multiplicity 4)  6 Nd 2.81-2.83
Rh (0.0000, 0.5000, 0.5000) (multiplicity 2)  6 Nd 2.85-2.86
Br (0.0000, 0.0000, 0.0000) (multiplicity 2)  6 Nd 3.33-3.34
Br (0.0000, 0.5000, 0.0000) (multiplicity 2)  6 Nd 3.35-3.38
Br (0.2500, 0.2500, 0.0000) (multiplicity 4)  6 Nd 3.35-3.38

Computed properties:
Size of the total moment = 0.000 μB/atom
E = -186.94 eV per cell
DOS(E_F) = 9.00 states/eV/f.u.

***

3.
DFT (PBE) results for an optimized crystal structure of NpPaMn4.

a = 7.1472 Å, b = 7.1472 Å, c = 7.1472 Å
α = 90.00°, β = 90.00°, γ = 90.00°
Closest atoms and distances in Å follow each position.
Space group F-43m (No. 216)
Inequivalent atoms, fractional coordinates:
Np (0.0000, 0.0000, 0.0000) (multiplicity 4)  12 Mn 2.96, 4 Pa 3.09
Pa (0.2500, 0.2500, 0.7500) (multiplicity 4)  12 Mn 2.96, 4 Np 3.09
Mn (0.1251, 0.1251, 0.3749) (multiplicity 16)  6 Mn 2.52-2.53

Computed properties:
Size of the total moment = 0.486 μB/atom
DOS(E_F) = 9.62 states/eV/f.u.
Energy relative to the elements = -0.40 kcal/mol of atoms

***

4.
DFT (PBE) results for an optimized crystal structure of K3Ce3BiS8.

a = 8.3306 Å, b = 8.3306 Å, c = 22.2318 Å
α = 90.00°, β = 90.00°, γ = 120.00°
Closest atoms and distances in Å follow each position.
Space group R-3m (No. 166, hexagonal axes)
Inequivalent atoms, fractional coordinates:
K (0.0000, 0.5000, 0.0000) (multiplicity 9)  6 S 3.25-3.28
Ce (0.0000, 0.5000, 0.5000) (multiplicity 9)  6 S 2.82-2.84
Bi (0.0000, 0.0000, 0.5000) (multiplicity 3)  6 S 2.85
S (0.0000, 0.0000, 0.2347) (multiplicity 6)  3 Ce 2.84
S (0.0033, 0.5016, 0.7666) (multiplicity 18)  2 Ce 2.82, 1 Bi 2.85

Computed properties:
Size of the total moment = 0.134 μB/atom
E = -244.03 eV per cell
DOS(E_F) = 13.26 states/eV/f.u.

***

5.
DFT (PBE) results for an optimized crystal structure of ZnSbTe2.

a = 12.5130 Å, b = 4.1363 Å, c = 5.3368 Å
α = 90.00°, β = 91.27°, γ = 90.00°
Closest atoms and distances in Å follow each position.
Space group Cm (No. 8)
Inequivalent atoms, fractional coordinates:
Zn (0.0000, 0.0000, 0.0000) (multiplicity 2)  3 Te 2.56-2.62
Sb (0.3479, 0.0000, 0.6774) (multiplicity 2)  3 Te 2.92-3.07
Te (0.0787, 0.5000, 0.7675) (multiplicity 2)  2 Zn 2.62, 1 Sb 2.92
Te (0.3285, 0.5000, 0.2531) (multiplicity 2)  1 Zn 2.56

Computed properties:
Size of the total moment = 0.000 μB/atom
Offset from the most stable computed form = 62 meV per atom
DOS(E_F) = 1.17 states/eV/f.u.

***

6.
DFT (PBE) results for an optimized crystal structure of Pm3TlGe2.

a = 4.5381 Å, b = 16.0071 Å, c = 4.3267 Å
α = 90.00°, β = 90.00°, γ = 90.00°
Closest atoms and distances in Å follow each position.
Space group Cmmm (No. 65)
Inequivalent atoms, fractional coordinates:
Pm (0.0000, 0.0000, 0.0000) (multiplicity 2)  4 Tl 3.14, 4 Ge 3.36, 4 Pm 3.50
Pm (0.0000, 0.1721, 0.5000) (multiplicity 4)  6 Ge 3.15-3.52, 4 Pm 3.37-3.50
Tl (0.0000, 0.5000, 0.5000) (multiplicity 2)  4 Pm 3.14, 4 Ge 3.29
Ge (0.0000, 0.3454, 0.0000) (multiplicity 4)  8 Pm 3.15-3.52, 2 Tl 3.29

Computed properties:
Size of the total moment = 0.000 μB/atom
Offset from the most stable computed form = 18 meV per atom
DOS(E_F) = 2.82 states/eV/f.u.
Energy relative to the elements = -11.93 kcal/mol of atoms

***

7.
DFT (PBE) results for an optimized crystal structure of AlIn2Pd2.

a = 4.0366 Å, b = 4.0366 Å, c = 12.8025 Å
α = 90.00°, β = 90.00°, γ = 90.00°
Closest atoms and distances in Å follow each position.
Space group I4/mmm (No. 139)
Inequivalent atoms, fractional coordinates:
Al (0.0000, 0.0000, 0.0000) (multiplicity 2)  8 Pd 3.14
In (0.0000, 0.5000, 0.2500) (multiplicity 4)  4 Pd 2.76, 4 In 2.85
Pd (0.0000, 0.0000, 0.3972) (multiplicity 4)  1 Pd 2.63, 4 In 2.76

Computed properties:
Size of the total moment = 0.000 μB/atom
DOS(E_F) = 2.63 states/eV/f.u.
Energy relative to the elements = -1.05 kcal/mol of atoms

***

8.
DFT (PBE) results for an optimized crystal structure of Th2CuBi.

a = 3.5255 Å, b = 3.5255 Å, c = 32.8094 Å
α = 90.00°, β = 90.00°, γ = 120.00°
Closest atoms and distances in Å follow each position.
Space group R-3m (No. 166, hexagonal axes)
Inequivalent atoms, fractional coordinates:
Th (0.0000, 0.0000, 0.1006) (multiplicity 6)  3 Cu 2.97, 1 Bi 3.30
Cu (0.0000, 0.0000, 0.5000) (multiplicity 3)  6 Th 2.97
Bi (0.0000, 0.0000, 0.0000) (multiplicity 3)  2 Th 3.30, 6 Bi 3.53

Computed properties:
Size of the total moment = 0.000 μB/atom
Offset from the most stable computed form = 425 meV per atom
DOS(E_F) = 4.27 states/eV/f.u.
Energy relative to the elements = 2.60 kcal/mol of atoms

***

9.
DFT (PBE) results for an optimized crystal structure of LiMg2S2.

a = 6.9662 Å, b = 6.9662 Å, c = 3.5389 Å
α = 90.00°, β = 90.00°, γ = 90.00°
Closest atoms and distances in Å follow each position.
Space group P4/mbm (No. 127)
Inequivalent atoms, fractional coordinates:
Li (0.0000, 0.0000, 0.0000) (multiplicity 2)  4 S 2.60
Mg (0.1495, 0.3505, 0.5000) (multiplicity 4)  6 S 2.54-2.82
S (0.1659, 0.6659, 0.0000) (multiplicity 4)  6 Mg 2.54-2.82, 2 Li 2.60

Computed properties:
Size of the total moment = 0.000 μB/atom
Offset from the most stable computed form = 0 meV per atom
DOS(E_F) = 1.27 states/eV/f.u.

***

10.
DFT (PBE) results for an optimized crystal structure of Er3MgSc2.

a = 3.4542 Å, b = 3.4542 Å, c = 13.7467 Å
α = 90.00°, β = 90.00°, γ = 90.00°
Closest atoms and distances in Å follow each position.
Space group P4/mmm (No. 123)
Inequivalent atoms, fractional coordinates:
Er (0.0000, 0.0000, 0.0000) (multiplicity 1)  8 Sc 3.36, 4 Er 3.45
Er (0.0000, 0.0000, 0.3338) (multiplicity 2)  4 Sc 3.34, 4 Mg 3.34, 4 Er 3.45
Mg (0.5000, 0.5000, 0.5000) (multiplicity 1)  8 Er 3.34, 4 Mg 3.45
Sc (0.5000, 0.5000, 0.1681) (multiplicity 2)  8 Er 3.34-3.36, 4 Sc 3.45

Computed properties:
Size of the total moment = 0.000 μB/atom
Offset from the most stable computed form = 0 meV per atom
DOS(E_F) = 10.41 states/eV/f.u.
Energy relative to the elements = 0.19 kcal/mol of atoms

***

11.
DFT (PBE) results for an optimized crystal structure of LiNdAl.

a = 5.4644 Å, b = 3.3385 Å, c = 8.5879 Å
α = 90.00°, β = 108.45°, γ = 90.00°
Closest atoms and distances in Å follow each position.
Space group P2/m (No. 10)
Inequivalent atoms, fractional coordinates:
Li (0.2390, 0.0000, 0.0000) (multiplicity 2)  2 Li 2.61-2.85, 2 Al 2.91
Nd (0.3356, 0.5000, 0.6699) (multiplicity 2)  6 Al 3.20-3.31, 2 Nd 3.34, 4 Li 3.47
Al (0.1595, 0.0000, 0.3196) (multiplicity 2)  2 Li 2.91, 4 Nd 3.20

Computed properties:
Size of the total moment = 0.000 μB/atom
Offset from the most stable computed form = 123 meV per atom
DOS(E_F) = 1.84 states/eV/f.u.
Energy relative to the elements = -2.20 kcal/mol of atoms

***

12.
DFT (PBE) results for an optimized crystal structure of Mg2TlSbI.

a = 5.4357 Å, b = 5.4357 Å, c = 6.9413 Å
α = 90.00°, β = 90.00°, γ = 90.00°
Closest atoms and distances in Å follow each position.
Space group P4/mmm (No. 123)
Inequivalent atoms, fractional coordinates:
Mg (0.0000, 0.5000, 0.0000) (multiplicity 2)  2 Sb 2.72
Tl (0.0000, 0.0000, 0.5000) (multiplicity 1)  2 Sb 3.47, 4 I 3.84
Sb (0.0000, 0.0000, 0.0000) (multiplicity 1)  4 Mg 2.72
I (0.5000, 0.5000, 0.5000) (multiplicity 1)  4 Tl 3.84

Computed properties:
Size of the total moment = 0.000 μB/atom
E = -11.40 eV per cell
DOS(E_F) = 2.43 states/eV/f.u.

***

13.
DFT (PBE) results for an optimized crystal structure of ZnGa2Br.

a = 6.0791 Å, b = 6.0791 Å, c = 12.8264 Å
α = 90.00°, β = 90.00°, γ = 90.00°
Closest atoms and distances in Å follow each position.
Space group I-42d (No. 122)
Inequivalent atoms, fractional coordinates:
Zn (0.0000, 0.0000, 0.0000) (multiplicity 4)  4 Ga 2.51
Ga (0.1946, 0.2500, 0.1250) (multiplicity 8)  2 Zn 2.51
Br (0.0000, 0.0000, 0.5000) (multiplicity 4)  4 Ga 2.89

Computed properties:
Size of the total moment = 0.000 μB/atom
Offset from the most stable computed form = 0 meV per atom
DOS(E_F) = 3.52 states/eV/f.u.

***

14.
DFT (PBE) results for an optimized crystal structure of CaCoP2.

a = 5.5035 Å, b = 6.6398 Å, c = 3.5613 Å
α = 90.00°, β = 90.00°, γ = 90.00°
Closest atoms and distances in Å follow each position.
Space group Cmmm (No. 65)
Inequivalent atoms, fractional coordinates:
Ca (0.0000, 0.0000, 0.0000) (multiplicity 2)  2 Co 2.75, 8 P 2.80
Co (0.0000, 0.5000, 0.0000) (multiplicity 2)  2 Ca 2.75, 8 P 2.80
P (0.2500, 0.2500, 0.5000) (multiplicity 4)  2 P 2.75, 4 Co 2.80, 4 Ca 2.80

Computed properties:
Size of the total moment = 0.308 μB/atom
Offset from the most stable computed form = 704 meV per atom
DOS(E_F) = 4.40 states/eV/f.u.
Energy relative to the elements = 0.04 kcal/mol of atoms